(1)
# Pm2HoIn2Rh5 (PBE, optimized geometry)
data_Pm2HoIn2Rh5
_chemical_formula_sum 'Pm4 Ho2 In4 Rh10'
_symmetry_space_group_name_H-M 'P 4/m b m'
_symmetry_Int_Tables_number 127
_symmetry_space_group_name_Hall '-P 4 2ab'
_cell_length_a 10.4333
_cell_length_b 10.4333
_cell_length_c 3.7309
_cell_angle_alpha 90.00
_cell_angle_beta 90.00
_cell_angle_gamma 90.00
loop_
_atom_site_label
_atom_site_type_symbol
_atom_site_fract_x
_atom_site_fract_y
_atom_site_fract_z
_atom_site_occupancy
Pm1 Pm 0.1701 0.3299 0.0000 1
Ho1 Ho 0.0000 0.0000 0.0000 1
In1 In 0.1275 0.6275 0.0000 1
Rh1 Rh 0.0000 0.5000 0.5000 1
Rh2 Rh 0.0630 0.7984 0.5000 1
# Spin magnetization = 0.00 μB per atom

***

(2)
# PmHo2InRh4 (PBE, optimized geometry)
data_PmHo2InRh4
_chemical_formula_sum 'Pm3 Ho6 In3 Rh12'
_symmetry_space_group_name_H-M 'R -3 m'
_symmetry_Int_Tables_number 166
_symmetry_space_group_name_Hall '-R 3 2"'
_cell_length_a 4.8008
_cell_length_b 4.8008
_cell_length_c 23.4514
_cell_angle_alpha 90.00
_cell_angle_beta 90.00
_cell_angle_gamma 120.00
loop_
_atom_site_label
_atom_site_type_symbol
_atom_site_fract_x
_atom_site_fract_y
_atom_site_fract_z
_atom_site_occupancy
Pm1 Pm 0.0000 0.0000 0.0000 1
Ho1 Ho 0.0000 0.0000 0.2439 1
In1 In 0.0000 0.0000 0.5000 1
Rh1 Rh 0.0000 0.0000 0.1249 1
Rh2 Rh 0.0000 0.0000 0.3776 1
# Spin magnetization = 0.00 μB per atom

***

(3)
# PmHoSc2In4 (PBE, optimized geometry)
data_PmHoSc2In4
_chemical_formula_sum 'Pm3 Ho3 Sc6 In12'
_symmetry_space_group_name_H-M 'R -3 m'
_symmetry_Int_Tables_number 166
_symmetry_space_group_name_Hall '-R 3 2"'
_cell_length_a 5.2087
_cell_length_b 5.2087
_cell_length_c 25.5773
_cell_angle_alpha 90.00
_cell_angle_beta 90.00
_cell_angle_gamma 120.00
loop_
_atom_site_label
_atom_site_type_symbol
_atom_site_fract_x
_atom_site_fract_y
_atom_site_fract_z
_atom_site_occupancy
Pm1 Pm 0.0000 0.0000 0.0000 1
Ho1 Ho 0.0000 0.0000 0.5000 1
Sc1 Sc 0.0000 0.0000 0.2497 1
In1 In 0.0000 0.0000 0.1263 1
In2 In 0.0000 0.0000 0.3764 1
# Spin magnetization = 0.00 μB per atom

***

(4)
# Pm2Sm6Ho3In (PBE, optimized geometry)
data_Pm2Sm6Ho3In
_chemical_formula_sum 'Pm4 Sm12 Ho6 In2'
_symmetry_space_group_name_H-M 'C 1 2/m 1'
_symmetry_Int_Tables_number 12
_cell_length_a 6.1623
_cell_length_b 10.6922
_cell_length_c 11.8163
_cell_angle_alpha 90.00
_cell_angle_beta 100.06
_cell_angle_gamma 90.00
loop_
_symmetry_equiv_pos_as_xyz
'x,y,z'
'-x,-y,-z'
'-x,y,-z'
'x,-y,z'
'x+1/2,y+1/2,z'
'-x+1/2,-y+1/2,-z'
'-x+1/2,y+1/2,-z'
'x+1/2,-y+1/2,z'
loop_
_atom_site_label
_atom_site_type_symbol
_atom_site_fract_x
_atom_site_fract_y
_atom_site_fract_z
_atom_site_occupancy
Pm1 Pm 0.0000 0.1662 0.0000 1
Sm1 Sm 0.2427 0.5000 0.7485 1
Sm2 Sm 0.2467 0.3368 0.2504 1
Ho1 Ho 0.0000 0.0000 0.5000 1
Ho2 Ho 0.0000 0.3328 0.5000 1
In1 In 0.0000 0.5000 0.0000 1
# Spin magnetization = 0.00 μB per atom

***

no.,total DFT energy (no corrections) (eV/atom),V (Å³/f.u.)
1,-6.16,203
2,-6.52,156
3,-4.55,200
4,-4.57,383